Record 1
Density functional theory data (SCAN) for ZrPb2Br at its PBEsol-relaxed geometry.

The structure in extended XYZ format:
```
8
Lattice="4.424 0.000 0.000 0.000 4.424 0.000 0.000 0.000 10.104" Properties=species:S:1:pos:R:3 pbc="T T T"
Zr 0.000 0.000 0.000
Zr 2.212 2.212 5.052
Pb 0.000 2.212 2.526
Pb 0.000 2.212 7.578
Pb 2.212 0.000 2.526
Pb 2.212 0.000 7.578
Br 0.000 0.000 5.052
Br 2.212 2.212 0.000
```

Calculated values
Its volume is 197.8 Å³/cell. As for the total moment: 0.000 μB per formula unit. The value obtained for the total energy is -403.89 eV for the cell shown. Its formation energy without anion corrections is -0.056 eV/atom. For the distance to the lowest polymorph of the same formula, the calculation gives 0.3423 eV per atom.

=====

Record 2
Density functional theory data (SCAN) for CrCdSe2 at its PBEsol-relaxed geometry.

The structure in extended XYZ format:
```
8
Lattice="12.992 0.000 0.000 0.000 3.506 0.000 -0.142 0.000 3.770" Properties=species:S:1:pos:R:3 pbc="T T T"
Cr 0.000 0.000 0.000
Cr 6.496 1.753 0.000
Cd 2.876 0.000 2.304
Cd 9.372 1.753 2.304
Se 1.924 1.753 0.360
Se 5.480 0.000 2.151
Se 8.420 0.000 0.360
Se 11.976 1.753 2.151
```

Calculated values
Its volume is 171.7 Å³/cell. As for the total moment: 3.905 μB per formula unit. The value obtained for the total energy is -181.87 eV for the cell shown. Its formation energy without anion corrections is -0.494 eV/atom.

=====

Record 3
Density functional theory data (SCAN) for Zr2MnAu at its PBEsol-relaxed geometry.

The structure in extended XYZ format:
```
4
Lattice="3.350 0.000 0.000 0.000 3.350 0.000 0.000 0.000 6.513" Properties=species:S:1:pos:R:3 pbc="T T T"
Zr 0.000 0.000 0.000
Zr 1.675 1.675 1.937
Mn 1.675 1.675 5.031
Au 0.000 0.000 3.543
```

Calculated values
Its volume is 73.1 Å³/cell. The formation energy is -154 kJ/mol of formula units. As for the total moment: 3.731 μB per formula unit. The value obtained for the total energy is -150.40 eV for the cell shown. For the distance to the lowest polymorph of the same formula, the calculation gives 0.0309 eV per atom.

=====

Record 4
Density functional theory data (SCAN) for SrTe2Se at its PBEsol-relaxed geometry.

The structure in extended XYZ format:
```
16
Lattice="6.209 0.000 0.000 0.000 8.980 0.000 0.000 0.000 9.057" Properties=species:S:1:pos:R:3 pbc="T T T"
Sr 0.000 0.000 0.000
Sr 0.000 4.490 4.528
Sr 3.105 0.000 4.528
Sr 3.105 4.490 0.000
Te 0.000 2.245 2.264
Te 0.000 2.245 6.793
Te 0.000 6.735 2.264
Te 0.000 6.735 6.793
Te 3.105 2.245 2.264
Te 3.105 2.245 6.793
Te 3.105 6.735 2.264
Te 3.105 6.735 6.793
Se 0.000 0.000 4.528
Se 0.000 4.490 0.000
Se 3.105 0.000 0.000
Se 3.105 4.490 4.528
```

Calculated values
Its volume is 505.0 Å³/cell. As for the total moment: 0.000 μB per formula unit. The value obtained for the total energy is -481.82 eV for the cell shown. Its formation energy without anion corrections is -0.900 eV/atom.

=====

Record 5
Density functional theory data (SCAN) for InCuPO2 at its PBEsol-relaxed geometry.

The structure in extended XYZ format:
```
5
Lattice="3.769 0.000 0.000 0.000 3.769 0.000 0.000 0.000 4.649" Properties=species:S:1:pos:R:3 pbc="T T T"
In 0.000 0.000 0.000
Cu 1.884 1.884 2.324
P 1.884 1.884 0.000
O 0.000 1.884 2.324
O 1.884 0.000 2.324
```

Calculated values
Its volume is 66.0 Å³/cell. As for the total moment: 0.003 μB per formula unit. The value obtained for the total energy is -71.66 eV for the cell shown. Its formation energy without anion corrections is -0.043 eV/atom.

=====

Record 6
Density functional theory data (SCAN) for Cr2CdPRh at its PBEsol-relaxed geometry.

The structure in extended XYZ format:
```
5
Lattice="4.898 0.000 0.000 0.000 4.898 0.000 0.000 0.000 4.273" Properties=species:S:1:pos:R:3 pbc="T T T"
Cr 0.000 2.449 0.000
Cr 2.449 0.000 0.000
Cd 0.000 0.000 2.136
P 2.449 2.449 2.136
Rh 2.449 2.449 0.000
```

Calculated values
Its volume is 102.5 Å³/cell. The formation energy is 211 kJ/mol of formula units. As for the total moment: 8.447 μB per formula unit. The value obtained for the total energy is -109.17 eV for the cell shown.

=====

Record 7
Density functional theory data (SCAN) for ScTaAlBr2 at its PBEsol-relaxed geometry.

The structure in extended XYZ format:
```
5
Lattice="4.903 0.000 0.000 0.000 4.903 0.000 0.000 0.000 5.380" Properties=species:S:1:pos:R:3 pbc="T T T"
Sc 0.000 0.000 0.000
Ta 2.452 2.452 2.690
Al 2.452 2.452 0.000
Br 0.000 2.452 2.690
Br 2.452 0.000 2.690
```

Calculated values
Its volume is 129.3 Å³/cell. As for the total moment: 0.729 μB per formula unit. The value obtained for the total energy is -124.99 eV for the cell shown. Its formation energy without anion corrections is 0.500 eV/atom.

=====

Record 8
Density functional theory data (SCAN) for Fe2Se at its PBEsol-relaxed geometry.

The structure in extended XYZ format:
```
3
Lattice="2.970 0.000 0.000 -1.485 2.572 0.000 0.000 0.000 5.320" Properties=species:S:1:pos:R:3 pbc="T T T"
Fe 0.000 1.715 1.846
Fe 1.485 0.857 3.474
Se 0.000 0.000 0.000
```

Calculated values
Its volume is 40.6 Å³/cell. As for the total moment: 5.319 μB per formula unit. The value obtained for the total energy is -55.56 eV for the cell shown. Its formation energy without anion corrections is 0.260 eV/atom. For the distance to the lowest polymorph of the same formula, the calculation gives 0.1816 eV per atom.

=====

Record 9
Density functional theory data (SCAN) for Li2Ca2Ag at its PBEsol-relaxed geometry.

The structure in extended XYZ format:
```
10
Lattice="3.730 0.000 0.000 0.000 3.730 0.000 0.000 0.000 18.483" Properties=species:S:1:pos:R:3 pbc="T T T"
Li 0.000 1.865 4.621
Li 0.000 1.865 13.862
Li 1.865 0.000 4.621
Li 1.865 0.000 13.862
Ca 0.000 0.000 1.752
Ca 0.000 0.000 16.731
Ca 1.865 1.865 7.490
Ca 1.865 1.865 10.993
Ag 0.000 0.000 9.241
Ag 1.865 1.865 0.000
```

Calculated values
Its volume is 257.2 Å³/cell. The formation energy is -33 kJ/mol of formula units. As for the total moment: 0.039 μB per formula unit. The value obtained for the total energy is -111.64 eV for the cell shown.

=====

Record 10
Density functional theory data (SCAN) for Nb3SiSnMo3 at its PBEsol-relaxed geometry.

The structure in extended XYZ format:
```
8
Lattice="3.581 2.068 2.927 -3.581 2.068 2.927 0.000 -4.135 2.927" Properties=species:S:1:pos:R:3 pbc="T T T"
Nb -2.659 0.522 2.927
Nb 0.877 -2.564 2.927
Nb 1.782 2.042 2.927
Si 0.000 0.000 2.186
Sn 0.000 0.000 6.561
Mo -0.878 -1.551 4.361
Mo -0.905 1.536 4.361
Mo 1.783 0.015 4.361
```

Calculated values
Its volume is 130.0 Å³/cell. As for the total moment: 0.000 μB per formula unit. The value obtained for the total energy is -252.05 eV for the cell shown. Its formation energy without anion corrections is -0.258 eV/atom.

=====

Record 11
Density functional theory data (SCAN) for NbWC3 at its PBEsol-relaxed geometry.

The structure in extended XYZ format:
```
5
Lattice="3.957 0.000 0.000 0.000 3.957 0.000 0.000 0.000 3.957" Properties=species:S:1:pos:R:3 pbc="T T T"
Nb 0.000 0.000 0.000
W 1.979 1.979 1.979
C 0.000 1.979 1.979
C 1.979 0.000 1.979
C 1.979 1.979 0.000
```

Calculated values
Its volume is 62.0 Å³/cell. The formation energy is 814 kJ/mol of formula units. As for the total moment: 0.000 μB per formula unit. The value obtained for the total energy is -124.68 eV for the cell shown.